# PBE SmHoBe2Ge2, relaxed
# E_tot, eV/cell: -29.98
data_SmHoBe2Ge2
_chemical_formula_sum 'Sm1 Ho1 Be2 Ge2'
_symmetry_space_group_name_H-M 'P -3 m 1'
_symmetry_Int_Tables_number 164
_symmetry_space_group_name_Hall '-P 3 2"'
_cell_length_a 3.9388
_cell_length_b 3.9388
_cell_length_c 8.1991
_cell_angle_alpha 90.00
_cell_angle_beta 90.00
_cell_angle_gamma 120.00
loop_
_atom_site_label
_atom_site_type_symbol
_atom_site_fract_x
_atom_site_fract_y
_atom_site_fract_z
_atom_site_occupancy
Sm1 Sm 0.0000 0.0000 0.0000 1
Ho1 Ho 0.0000 0.0000 0.5000 1
Be1 Be 0.3333 0.6667 0.7445 1
Ge1 Ge 0.3333 0.6667 0.2568 1